First-principles (GGA-PBE) data for crystalline SbPdCl at its relaxed geometry, as listed in Alexandria via LeMat-Bulk. Values from VASP.

The structure in Quantum ESPRESSO input format:
```
&SYSTEM
  ibrav = 0, nat = 6, ntyp = 3
/
ATOMIC_SPECIES
Cl 35.45 Cl.upf
Pd 106.42 Pd.upf
Sb 121.76 Sb.upf
ATOMIC_POSITIONS crystal
Cl 0.270 0.205 0.754
Cl 0.115 0.768 0.046
Pd 0.856 0.399 0.155
Pd 0.384 0.640 0.440
Sb 0.124 0.272 0.547
Sb 0.608 0.025 0.281
CELL_PARAMETERS angstrom
-2.875 -2.719 0.441
0.490 -3.671 -1.462
6.790 -2.649 9.122
```

Output
Fermi-level density of states   0.67 states/eV/f.u.
Energy relative to the elements, uncorrected   -0.41 eV per atom

First-principles (GGA-PBE) data for crystalline SmHo2ErTm4 at its relaxed geometry, as listed in Alexandria via LeMat-Bulk. Values from VASP.

The structure in Quantum ESPRESSO input format:
```
&SYSTEM
  ibrav = 0, nat = 8, ntyp = 4
/
ATOMIC_SPECIES
Ho 164.93 Ho.upf
Tm 168.93 Tm.upf
Sm 150.36 Sm.upf
Er 167.26 Er.upf
ATOMIC_POSITIONS crystal
Ho 0.500 0.000 0.500
Ho 0.000 0.000 0.000
Tm 0.500 0.748 0.252
Tm 0.000 0.248 0.252
Tm 0.500 0.252 0.748
Tm 0.000 0.752 0.748
Sm 0.500 0.500 0.000
Er 0.000 0.500 0.500
CELL_PARAMETERS angstrom
4.972 0.000 0.000
0.000 4.844 1.111
0.000 2.620 10.797
```

Output
Fermi-level density of states   11.21 states/eV/f.u.
ΔE_f   0.025 eV/atom

First-principles (GGA-PBE) data for crystalline MgBeS2 at its relaxed geometry, as listed in Alexandria via LeMat-Bulk. Values from VASP.

The structure in Quantum ESPRESSO input format:
```
&SYSTEM
  ibrav = 0, nat = 8, ntyp = 3
/
ATOMIC_SPECIES
Be 9.01 Be.upf
S 32.06 S.upf
Mg 24.30 Mg.upf
ATOMIC_POSITIONS crystal
Be 0.500 0.500 0.000
Be 0.250 0.750 0.500
S 0.175 0.625 0.250
S 0.875 0.825 0.750
S 0.575 0.125 0.250
S 0.375 0.425 0.750
Mg 0.000 0.000 0.000
Mg 0.750 0.250 0.500
CELL_PARAMETERS angstrom
-5.258 -0.648 -0.974
-0.908 -0.568 5.279
-3.775 4.383 2.570
```

Output
Fermi-level density of states   0.00 states/eV/f.u.
Energy above the lowest structure with this stoichiometry   5 meV per atom
Energy relative to the elements, uncorrected   -1.17 eV per atom

First-principles (GGA-PBE) data for crystalline Al2ReMo at its relaxed geometry, as listed in Alexandria via LeMat-Bulk. Values from VASP.

The structure in Quantum ESPRESSO input format:
```
&SYSTEM
  ibrav = 0, nat = 4, ntyp = 3
/
ATOMIC_SPECIES
Re 186.21 Re.upf
Al 26.98 Al.upf
Mo 95.94 Mo.upf
ATOMIC_POSITIONS crystal
Re 0.500 0.500 0.750
Al 0.000 0.000 0.997
Al 0.000 0.000 0.503
Mo 0.500 0.500 0.250
CELL_PARAMETERS angstrom
-0.182 -1.663 -2.153
2.353 -0.497 1.284
-3.870 -5.833 4.834
```

Output
Fermi-level density of states   2.32 states/eV/f.u.
Energy above the lowest structure with this stoichiometry   226 meV per atom
ΔE_f   -0.083 eV/atom

First-principles (GGA-PBE) data for crystalline FeMoRu2 at its relaxed geometry, as listed in Alexandria via LeMat-Bulk. Values from VASP.

The structure in Quantum ESPRESSO input format:
```
&SYSTEM
  ibrav = 0, nat = 4, ntyp = 3
/
ATOMIC_SPECIES
Mo 95.94 Mo.upf
Fe 55.84 Fe.upf
Ru 101.07 Ru.upf
ATOMIC_POSITIONS crystal
Mo 0.500 0.500 0.750
Fe 0.500 0.500 0.250
Ru 0.000 0.000 0.488
Ru 0.000 0.000 0.012
CELL_PARAMETERS angstrom
-2.659 -0.543 0.388
0.142 -2.603 -2.668
1.312 -3.756 3.735
```

Output
Fermi-level density of states   4.57 states/eV/f.u.
Energy above the lowest structure with this stoichiometry   59 meV per atom
ΔE_f   0.099 eV/atom

First-principles (GGA-PBE) data for crystalline SnAsRuBr2 at its relaxed geometry, as listed in Alexandria via LeMat-Bulk. Values from VASP.

The structure in Quantum ESPRESSO input format:
```
&SYSTEM
  ibrav = 0, nat = 5, ntyp = 4
/
ATOMIC_SPECIES
As 74.92 As.upf
Br 79.90 Br.upf
Sn 118.71 Sn.upf
Ru 101.07 Ru.upf
ATOMIC_POSITIONS crystal
As 0.000 0.000 0.500
Br 0.000 0.500 0.000
Br 0.500 0.000 0.000
Sn 0.500 0.500 0.500
Ru 0.000 0.000 0.000
CELL_PARAMETERS angstrom
-5.001 0.184 -1.413
-1.420 -0.210 4.998
0.109 4.721 0.229
```

Output
Fermi-level density of states   4.49 states/eV/f.u.
Energy above the lowest structure with this stoichiometry   0 meV per atom
Energy relative to the elements, uncorrected   0.25 eV per atom